No. 1
A relaxed SrLi4Zn crystal. Source: Alexandria, functional GGA-PBE.

Output
ΔE_f = -32 meV/atom
magnetization = 0.00 μB per cell
E above lowest polymorph = 13 meV/atom
space group = No. 15
DFT total energy = -21.6 eV for the cell shown

a = 8.4954 Å, b = 5.1190 Å, c = 7.9011 Å
α = 80.88°, β = 122.57°, γ = 90.01°
Last column: nearest neighbours and their distance in Å.
Fractional positions:
Sr  0.8023  0.7500  0.9999  2 Zn 3.36, 10 Li 3.42-3.69
Sr  0.1977  0.2500  0.0001  2 Zn 3.36, 10 Li 3.42-3.69
Li  0.4579  0.2702  0.7646  3 Li 2.65-2.86, 1 Zn 2.85
Li  0.6934  0.2298  0.2352  3 Li 2.65-2.86, 1 Zn 2.85
Li  0.5421  0.7298  0.2354  3 Li 2.65-2.86, 1 Zn 2.85
Li  0.3066  0.7702  0.7648  3 Li 2.65-2.86, 1 Zn 2.85
Li  0.8894  0.9129  0.5994  1 Li 2.65, 1 Zn 2.70
Li  0.2902  0.5871  0.4006  1 Li 2.65, 1 Zn 2.70
Li  0.1106  0.0871  0.4006  1 Li 2.65, 1 Zn 2.70
Li  0.7098  0.4129  0.5994  1 Li 2.65, 1 Zn 2.70
Zn  0.5000  0.0000  0.5000  6 Li 2.70-2.97
Zn  0.0000  0.5000  0.5000  6 Li 2.70-2.98


No. 2
A relaxed SrLi2Zn6 crystal. Source: Alexandria, functional GGA-PBE.

Output
ΔE_f = -72 meV/atom
magnetization = 0.00 μB per cell
E above lowest polymorph = 21 meV/atom
space group = No. 191
DFT total energy = -13.8 eV for the cell shown

a = 3.3173 Å, b = 7.8708 Å, c = 7.8708 Å
α = 120.00°, β = 90.00°, γ = 90.00°
Last column: nearest neighbours and their distance in Å.
Fractional positions:
Sr  0.0000  0.0000  0.0000  12 Zn 3.17, 2 Sr 3.32
Li  0.0000  0.3333  0.6667  12 Zn 3.07, 2 Li 3.32
Li  0.0000  0.6667  0.3333  12 Zn 3.07, 2 Li 3.32
Zn  0.5000  0.3435  0.3435  3 Zn 2.46-2.70
Zn  0.5000  0.6565  0.6565  3 Zn 2.46-2.70
Zn  0.5000  0.0000  0.6565  3 Zn 2.46-2.70
Zn  0.5000  0.6565  0.0000  3 Zn 2.46-2.70
Zn  0.5000  0.3435  0.0000  3 Zn 2.46-2.70
Zn  0.5000  0.0000  0.3435  3 Zn 2.46-2.70


No. 3
A relaxed Sr3Li2Zn7 crystal. Source: Alexandria, functional GGA-PBE.

Output
ΔE_f = -176 meV/atom
magnetization = 0.00 μB per cell
space group = No. 166
DFT total energy = -19.9 eV for the cell shown

a = 5.6835 Å, b = 5.6835 Å, c = 9.7999 Å
α = 73.14°, β = 73.14°, γ = 60.00°
Last column: nearest neighbours and their distance in Å.
Fractional positions:
Sr  0.0000  0.0000  0.0000  6 Li 3.28, 12 Zn 3.62
Sr  0.8598  0.8598  0.4207  12 Zn 3.28-3.52, 3 Sr 3.59
Sr  0.1402  0.1402  0.5793  12 Zn 3.28-3.52, 3 Sr 3.59
Li  0.6674  0.6674  0.9977  6 Zn 2.77-2.79
Li  0.3326  0.3326  0.0023  6 Zn 2.77-2.79
Zn  0.5000  0.5000  0.5000  6 Zn 2.88
Zn  0.9157  0.4207  0.2429  2 Li 2.77-2.79, 5 Zn 2.81-2.88
Zn  0.4207  0.9157  0.2429  2 Li 2.77-2.79, 5 Zn 2.81-2.88
Zn  0.4207  0.4207  0.2429  2 Li 2.77-2.79, 5 Zn 2.81-2.88
Zn  0.0843  0.5793  0.7571  2 Li 2.77-2.79, 5 Zn 2.81-2.88
Zn  0.5793  0.5793  0.7571  2 Li 2.77-2.79, 5 Zn 2.81-2.88
Zn  0.5793  0.0843  0.7571  2 Li 2.77-2.79, 5 Zn 2.81-2.88